First-principles (PBE-GGA) data for a geometry-optimized RbBSbSe4 structure, as listed in the Alexandria database.

Cell: 6.3899 6.8467 9.4982 Å, 90.00 109.73 90.00°
Positions (direct):
Rb 0.2089 0.2500 0.4335
Rb 0.7911 0.7500 0.5665
B 0.2784 0.7500 0.1618
B 0.7216 0.2500 0.8382
Sb 0.2792 0.2500 0.9587
Sb 0.7208 0.7500 0.0413
Se 0.0731 0.7500 0.9427
Se 0.0935 0.7500 0.3015
Se 0.4959 0.5120 0.2058
Se 0.4959 0.9880 0.2058
Se 0.5041 0.0120 0.7942
Se 0.5041 0.4880 0.7942
Se 0.9065 0.2500 0.6985
Se 0.9269 0.2500 0.0573

Summary:
Symmetry: P2_1/m
E_form (uncorrected) in eV per atom: -0.383
Mass density in kg/m3: 4533